Computed, not measured: a geometry-optimized ReHg structure at the PBE-GGA level of DFT.

E_form (eV/atom): 0.422
SG: R-3m (166)

a = 2.8918 Å, b = 10.3707 Å, c = 2.8918 Å
α = 98.01°, β = 60.00°, γ = 98.01°
Atoms (fractional coordinates):
Hg 0.0077 0.0231 0.0077
Hg 0.2423 0.7269 0.2423
Re 0.7588 0.2763 0.7588
Re 0.4912 0.4737 0.4912


Computed, not measured: a geometry-optimized ZrGeS structure at the PBE-GGA level of DFT.

ΔE_f (raw) (meV per atom): -1063.1
SG: I4/mmm (139)

a = 3.6614 Å, b = 3.6614 Å, c = 8.5131 Å
α = 102.42°, β = 102.42°, γ = 90.00°
Atoms (fractional coordinates):
Ge 0.5000 0.0000 0.0000
Ge 0.0000 0.5000 0.0000
Zr 0.3602 0.3602 0.7204
Zr 0.6398 0.6398 0.2796
S 0.1907 0.1907 0.3814
S 0.8093 0.8093 0.6186


Computed, not measured: a geometry-optimized ErScMnGa structure at the PBE-GGA level of DFT.

E_form (eV/atom): -0.193
SG: F-43m (216)

a = 4.8534 Å, b = 4.8534 Å, c = 4.8534 Å
α = 60.00°, β = 60.00°, γ = 60.00°
Last column: magnetic moment on the atom in μB.
Atoms (fractional coordinates):
Ga 0.0000 0.0000 0.0000  -0.01
Mn 0.5000 0.5000 0.5000  3.35
Er 0.7500 0.7500 0.7500  -0.11
Sc 0.2500 0.2500 0.2500  -0.28


Computed, not measured: a geometry-optimized SrNbHW2 structure at the PBE-GGA level of DFT.

SG: P4/mmm (123)

a = 4.0302 Å, b = 5.0411 Å, c = 4.0302 Å
α = 90.00°, β = 90.00°, γ = 90.00°
Atoms (fractional coordinates):
Sr 0.0000 0.5000 0.0000
H 0.0000 0.0000 0.0000
W 0.5000 0.0000 0.0000
W 0.0000 0.0000 0.5000
Nb 0.5000 0.5000 0.5000


Computed, not measured: a geometry-optimized MnPtAu2 structure at the PBE-GGA level of DFT.

E_form (eV/atom): -0.146
SG: Pmm2 (25)

a = 2.9824 Å, b = 3.8396 Å, c = 5.8000 Å
α = 90.00°, β = 90.00°, γ = 90.00°
Last column: magnetic moment on the atom in μB.
Atoms (fractional coordinates):
Au 0.5000 0.5000 0.2563  0.04
Au 0.0000 0.0000 0.9969  0.02
Mn 0.0000 0.0000 0.5132  3.91
Pt 0.5000 0.5000 0.7336  0.24


Computed, not measured: a geometry-optimized Pm5SmTh4 structure at the PBE-GGA level of DFT.

E_form (eV/atom): 0.049
SG: C2/m (12)

a = 3.6177 Å, b = 8.0556 Å, c = 13.0337 Å
α = 111.85°, β = 82.02°, γ = 77.02°
Atoms (fractional coordinates):
Th 0.5997 0.2003 0.6003
Th 0.8044 0.5952 0.7959
Th 0.1956 0.4048 0.2041
Th 0.4003 0.7997 0.3997
Pm 0.6031 0.6922 0.1015
Pm 0.2023 0.8992 0.6963
Pm 0.3969 0.3078 0.8985
Pm 0.7977 0.1008 0.3037
Pm 0.0000 0.5000 0.5000
Sm 0.0000 0.0000 0.0000


Computed, not measured: a geometry-optimized TbSc5Rh6 structure at the PBE-GGA level of DFT.

E_form (eV/atom): -0.976
SG: Cmmm (65)

a = 4.6181 Å, b = 6.5302 Å, c = 7.3100 Å
α = 90.00°, β = 71.59°, γ = 90.00°
Atoms (fractional coordinates):
Sc 0.3330 0.5000 0.3341
Sc 0.0000 0.5000 0.0000
Sc 0.3306 0.0000 0.3388
Sc 0.6694 0.0000 0.6612
Sc 0.6670 0.5000 0.6659
Rh 0.1697 0.7458 0.6606
Rh 0.8303 0.7458 0.3394
Rh 0.1697 0.2542 0.6606
Rh 0.8303 0.2542 0.3394
Rh 0.5000 0.7405 0.0000
Rh 0.5000 0.2595 0.0000
Tb 0.0000 0.0000 0.0000


Computed, not measured: a geometry-optimized TmZrCdRu structure at the PBE-GGA level of DFT.

E_form (eV/atom): -0.258
SG: F-43m (216)

a = 4.8841 Å, b = 4.8841 Å, c = 4.8841 Å
α = 60.00°, β = 60.00°, γ = 60.00°
Atoms (fractional coordinates):
Cd 0.5000 0.5000 0.5000
Zr 0.7500 0.7500 0.7500
Tm 0.2500 0.2500 0.2500
Ru 0.0000 0.0000 0.0000


| no. | magnetic moment (μB/cell) | calculated total energy (eV/atom) |
| --- | --- | --- |
| 1 | 0.0 | -5.95 |
| 2 | 0.0 | -6.83 |
| 3 | 3.0 | -5.97 |
| 4 | 0.0 | -7.19 |
| 5 | 4.4 | -5.59 |
| 6 | 0.0 | -5.77 |
| 7 | 0.0 | -7.68 |
| 8 | 0.0 | -6.06 |